No. 1
A plane-wave DFT calculation with PBE was carried out for crystalline DyTl5Te4 at its relaxed geometry.

Calculated values
Raw formation energy: -569 meV per atom
Spin magnetization: 0.00 Bohr magnetons per cell

Unit cell a=20.1338 b=4.6161 c=9.0135 alpha=90.00 beta=116.36 gamma=90.00
Closest atoms and distances in Å follow each position.
Space group C2/m (No. 12)
Asymmetric unit:
Dy  0.0000  0.0000  0.0000 (multiplicity 2)  6 Te 3.10-3.14
Tl  0.0000  0.0000  0.5000 (multiplicity 2)  4 Te 3.46, 4 Tl 3.76
Tl  0.1487  0.5000  0.5078 (multiplicity 4)  4 Te 3.21-3.58
Tl  0.2051  0.5000  0.0828 (multiplicity 4)  3 Te 3.16-3.23
Te  0.0379  0.5000  0.8141 (multiplicity 4)  2 Dy 3.14, 3 Tl 3.16-3.46
Te  0.1622  0.0000  0.2756 (multiplicity 4)  1 Dy 3.10, 5 Tl 3.21-3.42

---

No. 2
A plane-wave DFT calculation with PBE was carried out for crystalline Dy4TlTe5 at its relaxed geometry.

Calculated values
Excess energy over the best structure of this formula in the dataset: 0.00 eV/f.u.
Raw formation energy: -1159 meV per atom
Spin magnetization: 0.00 Bohr magnetons per cell

Unit cell a=15.0184 b=4.3508 c=11.0283 alpha=90.00 beta=120.31 gamma=90.00
Closest atoms and distances in Å follow each position.
Space group C2/m (No. 12)
Asymmetric unit:
Dy  0.0892  0.0000  0.4009 (multiplicity 4)  6 Te 3.03-3.17
Dy  0.1983  0.5000  0.7812 (multiplicity 4)  6 Te 3.03-3.23
Tl  0.0000  0.5000  0.0000 (multiplicity 2)  6 Te 3.27-3.32
Te  0.0000  0.5000  0.5000 (multiplicity 2)  6 Dy 3.03
Te  0.1152  0.0000  0.8957 (multiplicity 4)  4 Dy 3.08-3.23, 2 Tl 3.32
Te  0.2018  0.5000  0.3167 (multiplicity 4)  5 Dy 3.11-3.17, 1 Tl 3.27

---

No. 3
A plane-wave DFT calculation with PBE was carried out for crystalline Dy2TlTe at its relaxed geometry.

Calculated values
Excess energy over the best structure of this formula in the dataset: 0.17 eV/f.u.
Raw formation energy: -804 meV per atom
Spin magnetization: 0.00 Bohr magnetons per cell

Unit cell a=4.1843 b=4.1843 c=23.4899 alpha=90.00 beta=90.00 gamma=120.00
Closest atoms and distances in Å follow each position.
Space group R-3m (No. 166, hexagonal axes)
Asymmetric unit:
Dy  0.0000  0.0000  0.2491 (multiplicity 6)  3 Te 3.10, 3 Tl 3.12
Tl  0.0000  0.0000  0.0000 (multiplicity 3)  6 Dy 3.12
Te  0.0000  0.0000  0.5000 (multiplicity 3)  6 Dy 3.10

---

No. 4
A plane-wave DFT calculation with PBE was carried out for crystalline Dy3TlTe at its relaxed geometry.

Calculated values
Excess energy over the best structure of this formula in the dataset: 0.00 eV/f.u.
Raw formation energy: -620 meV per atom
Spin magnetization: 0.00 Bohr magnetons per cell

Unit cell a=12.0455 b=3.9386 c=12.6356 alpha=90.00 beta=90.00 gamma=90.00
Closest atoms and distances in Å follow each position.
Space group Pnma (No. 62)
Asymmetric unit:
Dy  0.0624  0.2500  0.1318 (multiplicity 4)  3 Te 3.11-3.12, 2 Tl 3.15
Dy  0.1356  0.7500  0.5507 (multiplicity 4)  3 Tl 3.15-3.21, 2 Te 3.21
Dy  0.2202  0.2500  0.7800 (multiplicity 4)  2 Tl 3.16-3.18, 2 Te 3.17
Tl  0.0195  0.7500  0.3223 (multiplicity 4)  7 Dy 3.15-3.21
Te  0.1718  0.7500  0.9707 (multiplicity 4)  7 Dy 3.11-3.21

---

No. 5
A plane-wave DFT calculation with PBE was carried out for crystalline Dy2TlTe at its relaxed geometry.

Calculated values
Excess energy over the best structure of this formula in the dataset: 0.66 eV/f.u.
Raw formation energy: -680 meV per atom
Spin magnetization: 0.00 Bohr magnetons per cell

Unit cell a=3.6746 b=3.6746 c=8.1455 alpha=90.00 beta=90.00 gamma=90.00
Closest atoms and distances in Å follow each position.
Space group P4/mmm (No. 123)
Asymmetric unit:
Dy  0.0000  0.0000  0.2386 (multiplicity 2)  4 Te 3.24, 4 Tl 3.36
Tl  0.5000  0.5000  0.5000 (multiplicity 1)  8 Dy 3.36, 4 Tl 3.67
Te  0.5000  0.5000  0.0000 (multiplicity 1)  8 Dy 3.24

---

No. 6
A plane-wave DFT calculation with PBE was carried out for crystalline Dy6TlTe8 at its relaxed geometry.

Calculated values
Raw formation energy: -1234 meV per atom
Spin magnetization: 0.00 Bohr magnetons per cell

Unit cell a=11.6984 b=11.6984 c=4.4243 alpha=90.00 beta=90.00 gamma=120.00
Closest atoms and distances in Å follow each position.
Space group P-3 (No. 147)
Asymmetric unit:
Dy  0.1355  0.4853  0.2505 (multiplicity 6)  6 Te 3.05-3.14
Tl  0.0000  0.0000  0.5000 (multiplicity 1)  6 Te 4.02, 2 Tl 4.42
Te  0.0453  0.6945  0.2504 (multiplicity 6)  4 Dy 3.05-3.11
Te  0.3333  0.6667  0.7507 (multiplicity 2)  6 Dy 3.14